1.
ZnGa4Pt2: relaxed, PBE-GGA.

Calculated values
E_form	-0.4596	eV/atom
total energy	-28.680	eV/cell
volume	18.245	A^3/atom

Lattice parameters (Å, degrees): 4.0804 4.0804 9.1652 77.14 77.14 60.00
Fractional coordinates of all 7 atoms:
Zn  0.0000  0.0000  0.0000
Ga  0.3903  0.3903  0.8290
Ga  0.1962  0.1962  0.4115
Ga  0.8038  0.8038  0.5885
Ga  0.6097  0.6097  0.1710
Pt  0.0971  0.0971  0.7087
Pt  0.9029  0.9029  0.2913


2.
TlIn2CuW: relaxed, PBE-GGA.

Calculated values
E_form	1.7222	eV/atom
total energy	-16.281	eV/cell
volume	30.412	A^3/atom

Lattice parameters (Å, degrees): 5.6029 4.8438 5.6029 90.00 90.00 90.00
Site moments in Bohr magnetons follow the coordinates.
Fractional coordinates of all 5 atoms:
Tl  0.0000  0.0000  0.0000  -0.01
Cu  0.0000  0.5000  0.0000  0.03
W  0.5000  0.5000  0.5000  3.21
In  0.0000  0.0000  0.5000  -0.02
In  0.5000  0.0000  0.0000  -0.01


3.
Pr4Cd5Hg2: relaxed, PBE-GGA.

Calculated values
E_form	-0.3068	eV/atom
total energy	-27.672	eV/cell
volume	27.576	A^3/atom

Lattice parameters (Å, degrees): 3.5421 8.0930 10.6308 95.52 90.00 90.00
Fractional coordinates of all 11 atoms:
Pr  0.5000  0.7292  0.5538
Pr  0.5000  0.1647  0.8858
Pr  0.5000  0.2708  0.4462
Pr  0.5000  0.8353  0.1142
Cd  0.0000  0.5564  0.2905
Cd  0.0000  0.2011  0.1629
Cd  0.0000  0.5000  0.0000
Cd  0.0000  0.7989  0.8371
Cd  0.0000  0.4436  0.7095
Hg  0.0000  0.0629  0.6395
Hg  0.0000  0.9371  0.3605


4.
ZnClF: relaxed, PBE-GGA.

Calculated values
energy relative to the lowest polymorph listed for this composition	0.000	eV per atom
total energy	-40.147	eV/cell
volume	22.261	A^3/atom
formation energy from raw total energies	-1.68	eV per atom

Lattice parameters (Å, degrees): 6.4363 8.1088 6.4363 78.53 60.06 101.47
Fractional coordinates of all 12 atoms:
Cl  0.8913  0.1005  0.4240
Cl  0.0408  0.3995  0.7745
Cl  0.8260  0.6005  0.3587
Cl  0.4755  0.8995  0.2092
F  0.9496  0.7941  0.7834
F  0.4666  0.2941  0.3004
F  0.4225  0.2059  0.8445
F  0.4055  0.7059  0.8275
Zn  0.4375  0.3793  0.5749
Zn  0.6751  0.8793  0.8125
Zn  0.3083  0.1207  0.2041
Zn  0.0459  0.6207  0.9418